# HgAu2 | Alexandria via LeMat-Bulk | GGA-PBE | optimized geometry
data_HgAu2
_cell_length_a 3.149
_cell_length_b 15.138
_cell_length_c 4.879
_cell_angle_alpha 90.00
_cell_angle_beta 90.00
_cell_angle_gamma 90.00
_space_group_name_H-M_alt 'C m c m'
_space_group_IT_number 63
_space_group_name_Hall '-C 2c 2'
loop_
_atom_site_label
_atom_site_fract_x
_atom_site_fract_y
_atom_site_fract_z
Hg1 0.000 0.109 0.250
Au1 0.000 0.223 0.750
Au2 0.000 0.442 0.250
# ΔE_f = 0.07 eV/atom
# Total magnetization = 0.00 μB per cell



# Hg3Au13 | Alexandria via LeMat-Bulk | GGA-PBE | optimized geometry
data_Hg3Au13
_cell_length_a 8.097
_cell_length_b 8.615
_cell_length_c 8.626
_cell_angle_alpha 90.00
_cell_angle_beta 90.00
_cell_angle_gamma 90.00
_space_group_name_H-M_alt 'A m m 2'
_space_group_IT_number 38
_space_group_name_Hall 'A 2 -2'
loop_
_atom_site_label
_atom_site_fract_x
_atom_site_fract_y
_atom_site_fract_z
Hg1 0.000 0.000 0.000
Hg2 0.255 0.000 0.263
Au1 0.000 0.000 0.512
Au2 0.000 0.249 0.757
Au3 0.251 0.000 0.756
Au4 0.253 0.249 0.510
Au5 0.500 0.000 0.005
Au6 0.500 0.000 0.514
Au7 0.500 0.246 0.760
# ΔE_f = 0.04 eV/atom
# Total magnetization = 0.00 μB per cell



# HgAu3 | Alexandria via LeMat-Bulk | GGA-PBE | optimized geometry
data_HgAu3
_cell_length_a 3.065
_cell_length_b 4.116
_cell_length_c 6.046
_cell_angle_alpha 90.00
_cell_angle_beta 90.00
_cell_angle_gamma 90.00
_space_group_name_H-M_alt 'P m m m'
_space_group_IT_number 47
_space_group_name_Hall '-P 2 2'
loop_
_atom_site_label
_atom_site_fract_x
_atom_site_fract_y
_atom_site_fract_z
Hg1 0.000 0.000 0.000
Au1 0.000 0.000 0.500
Au2 0.500 0.500 0.257
# ΔE_f = 0.06 eV/atom
# Total magnetization = 0.00 μB per cell



# Hg2Au | Alexandria via LeMat-Bulk | GGA-PBE | optimized geometry
data_Hg2Au
_cell_length_a 10.954
_cell_length_b 3.379
_cell_length_c 7.602
_cell_angle_alpha 90.00
_cell_angle_beta 91.42
_cell_angle_gamma 90.00
_space_group_name_H-M_alt 'C 1 2/m 1'
_space_group_IT_number 12
_space_group_name_Hall '-C 2y'
loop_
_atom_site_label
_atom_site_fract_x
_atom_site_fract_y
_atom_site_fract_z
Hg1 0.133 0.000 0.435
Hg2 0.139 0.000 0.822
Au1 0.096 0.500 0.130
# ΔE_f = 0.08 eV/atom
# Total magnetization = 0.00 μB per cell



# Hg2Au | Alexandria via LeMat-Bulk | GGA-PBE | optimized geometry
data_Hg2Au
_cell_length_a 3.708
_cell_length_b 4.188
_cell_length_c 8.646
_cell_angle_alpha 90.00
_cell_angle_beta 90.00
_cell_angle_gamma 90.00
_space_group_name_H-M_alt 'I m m m'
_space_group_IT_number 71
_space_group_name_Hall '-I 2 2'
loop_
_atom_site_label
_atom_site_fract_x
_atom_site_fract_y
_atom_site_fract_z
Hg1 0.000 0.000 0.166
Au1 0.000 0.000 0.500
# ΔE_f = 0.12 eV/atom
# Total magnetization = 0.00 μB per cell



# Hg3Au5 | Alexandria via LeMat-Bulk | GGA-PBE | optimized geometry
data_Hg3Au5
_cell_length_a 6.506
_cell_length_b 13.301
_cell_length_c 8.216
_cell_angle_alpha 90.00
_cell_angle_beta 100.23
_cell_angle_gamma 90.00
_space_group_name_H-M_alt 'C 1 m 1'
_space_group_IT_number 8
_space_group_name_Hall 'C -2y'
loop_
_atom_site_label
_atom_site_fract_x
_atom_site_fract_y
_atom_site_fract_z
Hg1 0.000 0.000 0.000
Hg2 0.036 0.500 0.320
Hg3 0.268 0.193 0.161
Hg4 0.268 0.332 0.660
Au1 0.011 0.500 0.727
Au2 0.025 0.000 0.594
Au3 0.122 0.382 0.011
Au4 0.213 0.145 0.824
Au5 0.323 0.145 0.497
Au6 0.414 0.382 0.310
# ΔE_f = 0.08 eV/atom
# Total magnetization = 0.00 μB per cell
# Energy above the lowest structure with this stoichiometry = 0.0 meV/atom